(1)
# PBE LiHfIrBr2, optimized geometry
# Formation energy without anion corrections = 0.929 eV/atom
# V = 32.5 Å³/atom
data_LiHfIrBr2
_symmetry_space_group_name_H-M 'P 4/m m m'
_symmetry_Int_Tables_number 123
_symmetry_space_group_name_Hall '-P 4 2'
_cell_length_a 5.085
_cell_length_b 5.085
_cell_length_c 6.287
_cell_angle_alpha 90.00
_cell_angle_beta 90.00
_cell_angle_gamma 90.00
loop_
_atom_site_label
_atom_site_fract_x
_atom_site_fract_y
_atom_site_fract_z
Li1 0.000 0.000 0.000
Hf1 0.000 0.000 0.500
Ir1 0.500 0.500 0.000
Br1 0.000 0.500 0.500

***

(2)
# PBE RbHf2IrBr, optimized geometry
# Formation energy without anion corrections = 2.485 eV/atom
# V = 26.6 Å³/atom
data_RbHf2IrBr
_symmetry_space_group_name_H-M 'P 4/m m m'
_symmetry_Int_Tables_number 123
_symmetry_space_group_name_Hall '-P 4 2'
_cell_length_a 5.273
_cell_length_b 5.273
_cell_length_c 4.788
_cell_angle_alpha 90.00
_cell_angle_beta 90.00
_cell_angle_gamma 90.00
loop_
_atom_site_label
_atom_site_fract_x
_atom_site_fract_y
_atom_site_fract_z
Rb1 0.000 0.000 0.000
Hf1 0.000 0.500 0.000
Ir1 0.000 0.000 0.500
Br1 0.500 0.500 0.500